A plane-wave DFT calculation with PBE-GGA was carried out for GeBiI2 after structural relaxation.

Energy relative to the lowest polymorph listed for this composition: 228 meV per atom
Electronic total energy: -10.1 eV/cell
Formation energy (no corrections): 0.364 eV/atom

abc: 5.559 5.559 5.559
angles: 60.00 60.00 60.00
Fractional coordinates of all 4 atoms:
Ge (0.000, 0.000, 0.000)
Bi (0.500, 0.500, 0.500)
I (0.250, 0.250, 0.250)
I (0.750, 0.750, 0.750)